(1)
# MnFe2Br (PBE, relaxed)
# Formation energy from raw total energies in eV per atom: 0.39
# Uncorrected energy in eV/atom: -6.5485
# Total magnetic moment in μB/f.u.: 9.62
# Relative energy among the computed polymorphs in kJ/mol of formula units: 16
data_MnFe2Br
_cell_length_a 3.154
_cell_length_b 3.154
_cell_length_c 6.699
_cell_angle_alpha 90.00
_cell_angle_beta 90.00
_cell_angle_gamma 90.00
_space_group_name_H-M_alt 'P 4 m m'
_space_group_IT_number 99
_space_group_name_Hall 'P 4 -2'
loop_
_atom_site_label
_atom_site_type_symbol
_atom_site_fract_x
_atom_site_fract_y
_atom_site_fract_z
_atom_site_occupancy
Mn1 Mn 0.000 0.000 0.000 1
Fe1 Fe 0.000 0.000 0.613 1
Fe2 Fe 0.500 0.500 0.781 1
Br1 Br 0.500 0.500 0.247 1

=====

(2)
# NaBeAu2 (PBE, relaxed)
# Uncorrected energy in eV/atom: -3.1024
# Total magnetic moment in μB/f.u.: 0.00
# E_form in eV/f.u.: -0.8
data_NaBeAu2
_cell_length_a 2.931
_cell_length_b 2.931
_cell_length_c 7.742
_cell_angle_alpha 90.00
_cell_angle_beta 90.00
_cell_angle_gamma 90.00
_space_group_name_H-M_alt 'P 4/m m m'
_space_group_IT_number 123
_space_group_name_Hall '-P 4 2'
loop_
_atom_site_label
_atom_site_type_symbol
_atom_site_fract_x
_atom_site_fract_y
_atom_site_fract_z
_atom_site_occupancy
Na1 Na 0.000 0.000 0.000 1
Be1 Be 0.000 0.000 0.500 1
Au1 Au 0.500 0.500 0.310 1

=====

(3)
# La8NiPd2C (PBE, relaxed)
# Uncorrected energy in eV/atom: -5.6740
# Total magnetic moment in μB/f.u.: 0.00
# E_form in eV/f.u.: -3.3
data_La8NiPd2C
_cell_length_a 6.729
_cell_length_b 8.312
_cell_length_c 6.733
_cell_angle_alpha 90.00
_cell_angle_beta 91.65
_cell_angle_gamma 90.00
_space_group_name_H-M_alt 'P 1 2/m 1'
_space_group_IT_number 10
_space_group_name_Hall '-P 2y'
loop_
_atom_site_label
_atom_site_type_symbol
_atom_site_fract_x
_atom_site_fract_y
_atom_site_fract_z
_atom_site_occupancy
La1 La 0.149 0.223 0.275 1
La2 La 0.320 0.000 0.727 1
La3 La 0.334 0.500 0.742 1
Ni1 Ni 0.000 0.500 0.500 1
Pd1 Pd 0.500 0.246 0.000 1
C1 C 0.000 0.000 0.500 1

=====

(4)
# RbHo2IrO8 (PBE, relaxed)
# Formation energy from raw total energies in eV per atom: -1.82
# Uncorrected energy in eV/atom: -6.7048
# Total magnetic moment in μB/f.u.: 1.39
data_RbHo2IrO8
_cell_length_a 4.571
_cell_length_b 4.800
_cell_length_c 7.740
_cell_angle_alpha 93.90
_cell_angle_beta 98.03
_cell_angle_gamma 94.54
_space_group_name_H-M_alt 'P -1'
_space_group_IT_number 2
_space_group_name_Hall '-P 1'
loop_
_atom_site_label
_atom_site_type_symbol
_atom_site_fract_x
_atom_site_fract_y
_atom_site_fract_z
_atom_site_occupancy
Rb1 Rb 0.000 0.000 0.000 1
Ho1 Ho 0.429 0.463 0.716 1
Ir1 Ir 0.000 0.000 0.500 1
O1 O 0.101 0.708 0.338 1
O2 O 0.286 0.916 0.697 1
O3 O 0.293 0.262 0.436 1
O4 O 0.339 0.521 0.004 1

=====

(5)
# TiNi3Os (PBE, relaxed)
# Uncorrected energy in eV/atom: -6.1226
# Total magnetic moment in μB/f.u.: 0.00
# Relative energy among the computed polymorphs in kJ/mol of formula units: 0
# E_form in eV/f.u.: 5.9
data_TiNi3Os
_cell_length_a 4.446
_cell_length_b 4.446
_cell_length_c 4.446
_cell_angle_alpha 90.00
_cell_angle_beta 90.00
_cell_angle_gamma 90.00
_space_group_name_H-M_alt 'P m -3 m'
_space_group_IT_number 221
_space_group_name_Hall '-P 4 2 3'
loop_
_atom_site_label
_atom_site_type_symbol
_atom_site_fract_x
_atom_site_fract_y
_atom_site_fract_z
_atom_site_occupancy
Ti1 Ti 0.000 0.000 0.000 1
Ni1 Ni 0.000 0.500 0.500 1
Os1 Os 0.500 0.500 0.500 1

=====

(6)
# Cs2BaReTc (PBE, relaxed)
# Uncorrected energy in eV/atom: -3.2251
# Total magnetic moment in μB/f.u.: 4.01
# E_form in eV/f.u.: 10.3
data_Cs2BaReTc
_cell_length_a 5.826
_cell_length_b 5.826
_cell_length_c 5.846
_cell_angle_alpha 90.00
_cell_angle_beta 90.00
_cell_angle_gamma 90.00
_space_group_name_H-M_alt 'P 4/m m m'
_space_group_IT_number 123
_space_group_name_Hall '-P 4 2'
loop_
_atom_site_label
_atom_site_type_symbol
_atom_site_fract_x
_atom_site_fract_y
_atom_site_fract_z
_atom_site_occupancy
Cs1 Cs 0.000 0.500 0.000 1
Ba1 Ba 0.000 0.000 0.500 1
Re1 Re 0.500 0.500 0.500 1
Tc1 Tc 0.000 0.000 0.000 1

=====

Question: Among the records above, which one has the highest total magnetic moment?
Answer: MnFe2Br